First-principles (GGA-PBE) data for crystalline Sc4Te2CSe at its relaxed geometry, as listed in Alexandria.

a = 6.7105 Å, b = 3.7673 Å, c = 6.9483 Å
α = 90.00°, β = 108.33°, γ = 90.00°
With the nearest neighbours (Å) after each atom.
Space group P2/m (No. 10)
One atom of each set of equivalent atoms:
Sc1 0.1979 0.0000 0.1889 x2  2 C 2.44
Sc2 0.2224 0.5000 0.8053 x2  1 C 2.31
Te1 0.0000 0.0000 0.5000 x1  6 Sc 2.87-2.88
Te2 0.5000 0.5000 0.5000 x1  6 Sc 3.09-3.23
C1 0.0000 0.5000 0.0000 x1  6 Sc 2.31-2.44
Se1 0.5000 0.0000 0.0000 x1  6 Sc 2.70-2.74

Summary:
V in Å³/atom: 20.84
Total energy in eV per atom: -6.670



First-principles (GGA-PBE) data for crystalline Re2WBr at its relaxed geometry, as listed in Alexandria.

a = 6.3613 Å, b = 6.3613 Å, c = 6.3613 Å
α = 90.00°, β = 90.00°, γ = 90.00°
With the nearest neighbours (Å) after each atom.
Space group F-43m (No. 216)
One atom of each set of equivalent atoms:
Re1 0.0000 0.0000 0.0000 x4  4 W 2.75, 4 Re 2.75
Re2 0.2500 0.2500 0.2500 x4  4 Re 2.75, 4 Br 2.75
W1 0.2500 0.2500 0.7500 x4  4 Br 2.75, 4 Re 2.75
Br1 0.0000 0.0000 0.5000 x4  4 W 2.75, 4 Re 2.75

Summary:
Distance to the lowest polymorph of the same formula in eV per atom: 0.622
V in Å³/atom: 16.09



First-principles (GGA-PBE) data for crystalline TaH3N at its relaxed geometry, as listed in Alexandria.

a = 3.4917 Å, b = 3.4917 Å, c = 3.4917 Å
α = 90.00°, β = 90.00°, γ = 90.00°
With the nearest neighbours (Å) after each atom.
Space group Pm-3m (No. 221)
One atom of each set of equivalent atoms:
Ta1 0.0000 0.0000 0.0000 x1  6 H 1.75
H1 0.0000 0.0000 0.5000 x3  2 Ta 1.75
N1 0.5000 0.5000 0.5000 x1  12 H 2.47

Summary:
Distance to the lowest polymorph of the same formula in eV per atom: 0.000
V in Å³/atom: 8.51